This record from the Alexandria database describes a PBEsol-optimized structure of MgFeI2. The functional is meta-GGA SCAN.

Structure (POSCAR):
```
MgFeI2
1.0
-1.826 -5.159 -2.933
4.122 -3.310 3.256
-5.286 3.275 4.102
I Mg Fe
4 2 2
Cartesian
-1.449 -5.150 -0.441
-2.359 -2.974 3.413
-3.847 1.534 2.983
1.676 -3.799 2.895
1.148 -4.235 0.161
-2.982 -3.059 0.665
0.000 0.000 0.000
-0.008 -2.135 3.760
```

Calculated values
- Mass density: 4.8 g/cm3
- Symmetry: I-42d, No. 122
- Total energy: -23.995 eV/atom
- Crystal system: tetragonal


This record from the Alexandria database describes a PBEsol-optimized structure of MgFe2SnI. The functional is meta-GGA SCAN.

Structure (POSCAR):
```
MgFe2SnI
1.0
4.871 0.000 0.000
0.000 4.871 0.000
0.000 0.000 6.199
I Fe Sn Mg
1 2 1 1
Cartesian
0.000 0.000 3.099
2.436 0.000 0.000
0.000 2.436 0.000
0.000 0.000 0.000
2.436 2.436 3.099
```

Calculated values
- Mass density: 4.3 g/cm3
- Symmetry: P4/mmm, No. 123
- Total energy: -21.798 eV/atom
- Crystal system: tetragonal